# TiNbP2S GGA-PBE relaxed
data_TiNbP2S
_space_group_name_H-M_alt 'P 1'
_space_group_IT_number 1
_space_group_name_Hall 'P 1'
_cell_length_a 4.6369
_cell_length_b 4.6369
_cell_length_c 4.5763
_cell_angle_alpha 90.00
_cell_angle_beta 90.00
_cell_angle_gamma 90.00
loop_
_atom_site_label
_atom_site_type_symbol
_atom_site_fract_x
_atom_site_fract_y
_atom_site_fract_z
_atom_site_occupancy
Ti1 Ti 0.0000 0.0000 0.0000 1
P1 P 0.0000 0.5000 0.0000 1
Nb1 Nb 0.5000 0.5000 0.5000 1
P2 P 0.5000 0.0000 0.0000 1
S1 S 0.0000 0.0000 0.5000 1
# - Energy relative to the elements, uncorrected: 0.305 eV/atom
# - Crystal system: tetragonal
# - Total magnetization: 1.8 μB/cell
# - SG: P4/mmm, No. 123